The following is a PBE calculation of a relaxed Na3Tl4Hg crystal, from the Alexandria database.

Values from the calculation:
Energy relative to the elements = -0.08 eV/atom
Space group = No. 12
Crystal system = monoclinic

abc: 4.8581 3.8520 13.1856
angles: 99.08 100.62 90.00
Closest atoms and distances in Å follow each position.
Fractional coordinates of all 8 atoms:
Na 0.1473 0.1542 0.2947  9 Tl 3.36-3.66
Hg 0.5000 0.0000 0.0000  4 Tl 3.08-3.09, 4 Na 3.10
Tl 0.2786 0.2770 0.5571  5 Tl 3.26-3.44, 3 Na 3.36-3.61
Tl 0.5941 0.5987 0.1882  2 Hg 3.08-3.09, 1 Tl 3.26, 6 Na 3.38-3.42
Na 0.8527 0.8458 0.7053  9 Tl 3.36-3.66
Tl 0.7214 0.7230 0.4429  5 Tl 3.26-3.44, 3 Na 3.36-3.61
Tl 0.4059 0.4013 0.8118  2 Hg 3.08-3.09, 1 Tl 3.26, 6 Na 3.38-3.42
Na 0.0000 0.5000 0.0000  4 Hg 3.10, 4 Tl 3.42